No. 1
Below is a relaxed Y2Bi2O crystal, with properties calculated at the PBE-GGA level.

## Properties
Final energy, eV/atom: -6.75
Formation energy from raw total energies, meV/atom: -1618
Symmetry: C2/m (12)

abc: 4.1164 7.0722 9.7103
angles: 88.92 77.76 73.08
Sites, in units of the cell vectors:
O 0.6809 0.0316 0.6066
Bi 0.9258 0.2132 0.9351
Y 0.1172 0.1864 0.5792
Bi 0.0742 0.7868 0.0649
Bi 0.6113 0.4415 0.3360
Y 0.3406 0.1250 0.1939
Y 0.6594 0.8750 0.8061
O 0.3191 0.9684 0.3934
Bi 0.3887 0.5585 0.6640
Y 0.8828 0.8136 0.4208

---

No. 2
Below is a relaxed Y6BiO12 crystal, with properties calculated at the PBE-GGA level.

## Properties
Final energy, eV/atom: -8.35
Formation energy from raw total energies, meV/atom: -2969
Symmetry: R-3 (148)

abc: 6.5824 6.5824 6.5824
angles: 99.04 99.04 99.04
Sites, in units of the cell vectors:
O 0.0702 0.3154 0.9493
O 0.9493 0.0702 0.3154
O 0.9298 0.6846 0.0507
Y 0.1407 0.3060 0.6087
O 0.5850 0.4341 0.1782
O 0.6846 0.0507 0.9298
O 0.4341 0.1782 0.5850
O 0.1782 0.5850 0.4341
O 0.5659 0.8218 0.4150
Y 0.6940 0.3913 0.8593
Y 0.8593 0.6940 0.3913
O 0.4150 0.5659 0.8218
Bi 0.0000 0.0000 0.0000
Y 0.3060 0.6087 0.1407
O 0.0507 0.9298 0.6846
Y 0.6087 0.1407 0.3060
Y 0.3913 0.8593 0.6940
O 0.8218 0.4150 0.5659
O 0.3154 0.9493 0.0702

---

No. 3
Below is a relaxed Y2Bi2O7 crystal, with properties calculated at the PBE-GGA level.

## Properties
Final energy, eV/atom: -7.12
Formation energy from raw total energies, meV/atom: -2080
Symmetry: C2/m (12)

abc: 6.0680 6.0680 5.8963
angles: 84.09 84.09 106.54
Sites, in units of the cell vectors:
O 0.4569 0.4569 0.2563
O 0.0542 0.4109 0.8209
Bi 0.2587 0.2587 0.6090
Y 0.3088 0.6912 0.0000
O 0.9458 0.5891 0.1791
O 0.4109 0.0542 0.8209
O 0.0000 0.0000 0.5000
Y 0.6912 0.3088 0.0000
O 0.5891 0.9458 0.1791
Bi 0.7413 0.7413 0.3910
O 0.5431 0.5431 0.7437

---

No. 4
Below is a relaxed Y4Bi5O crystal, with properties calculated at the PBE-GGA level.

## Properties
Final energy, eV/atom: -5.87
Formation energy from raw total energies, meV/atom: -848
Symmetry: C2/m (12)

abc: 3.5407 9.0831 9.2014
angles: 92.96 101.09 90.00
Sites, in units of the cell vectors:
Bi 0.1841 0.7800 0.3681
Y 0.6521 0.0659 0.3043
Bi 0.5000 0.5000 0.0000
Y 0.3479 0.9341 0.6957
Bi 0.8543 0.6275 0.7087
Y 0.9868 0.1781 0.9736
Bi 0.8159 0.2200 0.6319
Y 0.0132 0.8219 0.0264
Bi 0.1457 0.3725 0.2913
O 0.5000 0.0000 0.0000

---

No. 5
Below is a relaxed YBi3O6 crystal, with properties calculated at the PBE-GGA level.

## Properties
Final energy, eV/atom: -6.55
Formation energy from raw total energies, meV/atom: -1765
Symmetry: R-3 (148)

abc: 7.0278 7.0278 7.0278
angles: 93.25 93.25 93.25
Sites, in units of the cell vectors:
O 0.1887 0.3959 0.5250
Bi 0.2483 0.0736 0.5520
O 0.3959 0.5250 0.1887
Y 0.0000 0.0000 0.0000
O 0.9313 0.0648 0.6894
Bi 0.9264 0.4480 0.7517
O 0.6041 0.4750 0.8113
Y 0.5000 0.5000 0.5000
O 0.9352 0.3106 0.0687
O 0.3106 0.0687 0.9352
O 0.6894 0.9313 0.0648
O 0.8113 0.6041 0.4750
O 0.0648 0.6894 0.9313
Bi 0.4480 0.7517 0.9264
O 0.5250 0.1887 0.3959
Bi 0.7517 0.9264 0.4480
Bi 0.5520 0.2483 0.0736
O 0.0687 0.9352 0.3106
O 0.4750 0.8113 0.6041
Bi 0.0736 0.5520 0.2483

---

No. 6
Below is a relaxed Y3BiO crystal, with properties calculated at the PBE-GGA level.

## Properties
Final energy, eV/atom: -6.97
Formation energy from raw total energies, meV/atom: -1328
Symmetry: Pm-3m (221)

abc: 4.8382 4.8382 4.8382
angles: 90.00 90.00 90.00
Sites, in units of the cell vectors:
Y 0.0000 0.5000 0.0000
Bi 0.5000 0.5000 0.5000
Y 0.0000 0.0000 0.5000
Y 0.5000 0.0000 0.0000
O 0.0000 0.0000 0.0000

---

No. 7
Below is a relaxed YBiO12 crystal, with properties calculated at the PBE-GGA level.

## Properties
Final energy, eV/atom: -4.72
Formation energy from raw total energies, meV/atom: 271
Symmetry: Fd-3m (227)

abc: 7.6640 7.6640 7.6640
angles: 60.00 60.00 60.00
Sites, in units of the cell vectors:
O 0.0658 0.7618 0.7618
O 0.1842 0.8393 0.4882
O 0.1842 0.4882 0.8393
O 0.4882 0.8393 0.1842
O 0.7618 0.7618 0.4107
Y 0.5000 0.5000 0.5000
O 0.4882 0.4882 0.1842
O 0.4882 0.1842 0.4882
O 0.7618 0.4107 0.7618
O 0.8393 0.4882 0.4882
O 0.7618 0.7618 0.0658
O 0.8393 0.1842 0.4882
O 0.7618 0.4107 0.0658
O 0.1842 0.4882 0.4882
O 0.7618 0.0658 0.4107
O 0.4107 0.0658 0.7618
O 0.4107 0.7618 0.0658
O 0.0658 0.4107 0.7618
O 0.0658 0.7618 0.4107
Bi 0.0000 0.0000 0.0000
O 0.4882 0.4882 0.8393
Bi 0.2500 0.2500 0.2500
O 0.4882 0.8393 0.4882
O 0.4107 0.7618 0.7618
O 0.4882 0.1842 0.8393
Y 0.7500 0.7500 0.7500
O 0.8393 0.4882 0.1842
O 0.7618 0.0658 0.7618

---

No. 8
Below is a relaxed Y3Bi5O12 crystal, with properties calculated at the PBE-GGA level.

## Properties
Final energy, eV/atom: -6.75
Formation energy from raw total energies, meV/atom: -1835
Symmetry: Ia-3d (230)

abc: 11.9548 11.9548 11.9548
angles: 109.47 109.47 109.47
Sites, in units of the cell vectors:
Y 0.1250 0.8750 0.7500
O 0.5558 0.3274 0.9193
O 0.3634 0.4193 0.0918
O 0.0918 0.9193 0.3634
Bi 0.7500 0.6250 0.3750
O 0.6726 0.2284 0.5918
Y 0.8750 0.1250 0.2500
O 0.0807 0.9082 0.1366
Bi 0.0000 0.5000 0.0000
O 0.4082 0.1366 0.5807
Y 0.3750 0.6250 0.2500
Bi 0.5000 0.0000 0.0000
O 0.3274 0.5558 0.4193
O 0.7716 0.4442 0.3634
O 0.4442 0.6726 0.0807
O 0.8274 0.9193 0.0558
O 0.1726 0.0918 0.7284
O 0.6366 0.0558 0.2284
Bi 0.0000 0.0000 0.5000
Y 0.8750 0.7500 0.1250
O 0.5558 0.2284 0.1366
O 0.9082 0.0807 0.6366
O 0.0558 0.6366 0.7284
O 0.1366 0.7284 0.5558
Bi 0.0000 0.5000 0.5000
O 0.5807 0.6366 0.4082
Bi 0.2500 0.8750 0.1250
O 0.5918 0.8634 0.4193
O 0.9442 0.5807 0.1726
Y 0.6250 0.2500 0.3750
O 0.6366 0.5807 0.9082
Y 0.7500 0.3750 0.1250
Y 0.7500 0.8750 0.6250
O 0.5807 0.9442 0.6726
O 0.9082 0.8274 0.7716
Y 0.2500 0.6250 0.8750
O 0.1726 0.0807 0.9442
O 0.8634 0.2716 0.4442
O 0.8274 0.9082 0.2716
O 0.9193 0.8274 0.5558
O 0.4193 0.0558 0.3274
Bi 0.2500 0.3750 0.6250
O 0.2716 0.8634 0.9442
Bi 0.6250 0.8750 0.2500
Bi 0.5000 0.0000 0.5000
Y 0.1250 0.2500 0.8750
Y 0.6250 0.3750 0.7500
Bi 0.8750 0.2500 0.6250
O 0.7716 0.3274 0.9082
Y 0.2500 0.1250 0.3750
O 0.5918 0.7284 0.6726
O 0.7284 0.1366 0.0558
O 0.2284 0.6726 0.0918
O 0.2284 0.5558 0.6366
Bi 0.6250 0.7500 0.8750
O 0.2716 0.4082 0.8274
Bi 0.3750 0.2500 0.1250
O 0.0918 0.1726 0.2284
O 0.4082 0.2716 0.3274
O 0.9442 0.3634 0.2716
Y 0.3750 0.7500 0.6250
Bi 0.3750 0.1250 0.7500
O 0.9193 0.0918 0.8634
Bi 0.1250 0.7500 0.3750
Bi 0.1250 0.3750 0.2500
O 0.4193 0.3634 0.5918
Bi 0.7500 0.1250 0.8750
O 0.0807 0.1726 0.4442
Bi 0.5000 0.5000 0.0000
O 0.1366 0.4082 0.0807
Bi 0.8750 0.6250 0.7500
O 0.0558 0.4193 0.8274
O 0.3274 0.7716 0.4082
Bi 0.5000 0.5000 0.5000
Bi 0.0000 0.0000 0.0000
O 0.8634 0.5918 0.9193
O 0.4442 0.7716 0.8634
O 0.7284 0.5918 0.1726
O 0.6726 0.4442 0.5807
O 0.3634 0.9442 0.7716

---

No. 9
Below is a relaxed Y2Bi2O7 crystal, with properties calculated at the PBE-GGA level.

## Properties
Final energy, eV/atom: -7.15
Formation energy from raw total energies, meV/atom: -2112
Symmetry: Cm (8)

abc: 5.4158 5.5823 5.5823
angles: 96.03 93.15 93.15
Sites, in units of the cell vectors:
O 0.2489 0.9616 0.5614
Y 0.0389 0.2646 0.7275
O 0.7651 0.3989 0.0114
Bi 0.5422 0.2696 0.2696
O 0.2690 0.0535 0.0535
O 0.2910 0.4766 0.4766
Bi 0.5010 0.7603 0.7603
O 0.7907 0.5146 0.5146
Y 0.0389 0.7275 0.2646
O 0.2489 0.5614 0.9616
O 0.7651 0.0114 0.3989

---

No. 10
Below is a relaxed Y2BiO5 crystal, with properties calculated at the PBE-GGA level.

## Properties
Final energy, eV/atom: -7.74
Formation energy from raw total energies, meV/atom: -2538
Symmetry: P2_1/c (14)

abc: 6.7473 7.3820 9.4933
angles: 90.00 106.53 90.00
Sites, in units of the cell vectors:
Bi 0.0579 0.1191 0.3318
Y 0.7597 0.3745 0.9940
O 0.9471 0.6275 0.0982
O 0.0529 0.3725 0.9018
O 0.7693 0.6202 0.4807
O 0.1411 0.6383 0.7213
Bi 0.4421 0.6191 0.6682
O 0.2307 0.3798 0.5193
O 0.2693 0.8798 0.4807
O 0.8468 0.8870 0.2834
O 0.6411 0.8617 0.7213
Bi 0.9421 0.8809 0.6682
O 0.5529 0.1275 0.9018
O 0.4471 0.8725 0.0982
O 0.1532 0.1130 0.7166
Y 0.2597 0.1255 0.9940
O 0.6532 0.3870 0.7166
Y 0.7403 0.8745 0.0060
Y 0.2403 0.6255 0.0060
Y 0.5419 0.8708 0.3391
Bi 0.5579 0.3809 0.3318
O 0.9699 0.1189 0.0981
O 0.3468 0.6130 0.2834
O 0.5301 0.6189 0.9019
O 0.7307 0.1202 0.5193
O 0.0301 0.8811 0.9019
Y 0.4581 0.1292 0.6609
O 0.8589 0.3617 0.2787
O 0.3589 0.1383 0.2787
Y 0.9581 0.3708 0.6609
O 0.4699 0.3811 0.0981
Y 0.0419 0.6292 0.3391

---

No. 11
Below is a relaxed YbBi12O20 crystal, with properties calculated at the PBE-GGA level.

## Properties
Final energy, eV/atom: -5.73
Formation energy from raw total energies, meV/atom: -1270
Symmetry: I23 (197)

abc: 8.9293 8.9293 8.9293
angles: 109.47 109.47 109.47
Sites, in units of the cell vectors:
Bi 0.1430 0.8294 0.3211
O 0.2659 0.6226 0.3792
Bi 0.5083 0.8219 0.6789
O 0.3567 0.7341 0.1134
O 0.6226 0.3792 0.2659
Bi 0.8570 0.1781 0.6865
O 0.2433 0.8866 0.6208
O 0.0000 0.0000 0.7496
O 0.8866 0.6208 0.2433
O 0.3792 0.2659 0.6226
O 0.0000 0.3386 0.0000
O 0.0000 0.7496 0.0000
O 0.7341 0.1134 0.3567
O 0.3386 0.0000 0.0000
O 0.6614 0.6614 0.6614
Bi 0.4917 0.1706 0.3135
O 0.1134 0.3567 0.7341
Bi 0.1706 0.3135 0.4917
O 0.2504 0.2504 0.2504
O 0.7567 0.3774 0.6433
Bi 0.8294 0.3211 0.1430
O 0.6433 0.7567 0.3774
Bi 0.8219 0.6789 0.5083
Bi 0.1781 0.6865 0.8570
Bi 0.6789 0.5083 0.8219
Bi 0.3211 0.1430 0.8294
Yb 0.0000 0.0000 0.0000
Bi 0.6865 0.8570 0.1781
O 0.3774 0.6433 0.7567
O 0.6208 0.2433 0.8866
O 0.0000 0.0000 0.3386
O 0.7496 0.0000 0.0000
Bi 0.3135 0.4917 0.1706

---

No. 12
Below is a relaxed ZnBi2O4 crystal, with properties calculated at the PBE-GGA level.

## Properties
Final energy, eV/atom: -5.35
Formation energy from raw total energies, meV/atom: -1223
Symmetry: C2/c (15)

abc: 3.5307 6.5135 10.4010
angles: 99.11 99.76 105.71
Sites, in units of the cell vectors:
O 0.8474 0.4333 0.2277
O 0.3809 0.1618 0.5855
O 0.3662 0.6620 0.0854
O 0.6191 0.8382 0.4145
Bi 0.1819 0.8151 0.5892
O 0.8130 0.9328 0.7275
Bi 0.7772 0.6846 0.9106
Bi 0.2228 0.3154 0.0894
Bi 0.8181 0.1849 0.4108
Zn 0.1211 0.7502 0.2500
O 0.6338 0.3380 0.9146
Zn 0.8789 0.2498 0.7500
O 0.1526 0.5667 0.7723
O 0.1870 0.0672 0.2725

---

No. 13
Below is a relaxed ZnBi2O5 crystal, with properties calculated at the PBE-GGA level.

## Properties
Final energy, eV/atom: -5.17
Formation energy from raw total energies, meV/atom: -939
Symmetry: P1 (1)

abc: 3.8036 5.3107 12.5533
angles: 92.70 95.84 86.12
Sites, in units of the cell vectors:
O 0.9881 0.4832 0.2317
Bi 0.4403 0.5835 0.0963
Zn 0.3828 0.8295 0.7837
Bi 0.6494 0.3009 0.5895
Bi 0.0247 0.6337 0.3894
Bi 0.9720 0.3210 0.8651
O 0.0332 0.0125 0.3830
O 0.4788 0.9760 0.1750
O 0.0894 0.5326 0.5565
O 0.5073 0.1194 0.8856
O 0.2418 0.6537 0.9103
O 0.0245 0.0823 0.7187
Zn 0.9862 0.0945 0.2192
O 0.6686 0.5396 0.7359
O 0.5470 0.4719 0.4104
O 0.9372 0.3628 0.0351

---

No. 14
Below is a relaxed ZnBiO2 crystal, with properties calculated at the PBE-GGA level.

## Properties
Final energy, eV/atom: -4.60
Formation energy from raw total energies, meV/atom: -835
Symmetry: R-3m (166)

abc: 6.4004 6.4004 6.4004
angles: 33.87 33.87 33.87
Sites, in units of the cell vectors:
Zn 0.0000 0.0000 0.0000
O 0.1030 0.1030 0.1030
O 0.8970 0.8970 0.8970
Bi 0.5000 0.5000 0.5000

---

No. 15
Below is a relaxed ZnBi2O4 crystal, with properties calculated at the PBE-GGA level.

## Properties
Final energy, eV/atom: -5.21
Formation energy from raw total energies, meV/atom: -1091
Symmetry: Fd-3m (227)

abc: 6.8190 6.8190 6.8190
angles: 60.00 60.00 60.00
Sites, in units of the cell vectors:
O 0.3757 0.8729 0.3757
O 0.8743 0.8743 0.8743
Bi 0.1250 0.6250 0.1250
O 0.3771 0.8743 0.8743
Bi 0.1250 0.1250 0.6250
Zn 0.5000 0.5000 0.5000
O 0.8743 0.8743 0.3771
O 0.8729 0.3757 0.3757
Zn 0.7500 0.7500 0.7500
Bi 0.6250 0.1250 0.1250
O 0.3757 0.3757 0.3757
Bi 0.1250 0.1250 0.1250
O 0.3757 0.3757 0.8729
O 0.8743 0.3771 0.8743